Computed, not measured: an optimized crystal structure of SrCd2Se at the PBE-GGA level of DFT.

The space group is R-3m (No. 166, hexagonal axes) and the conventional cell measures 4.3560, 4.3560 and 23.0113 Å, with angles of 90.00, 90.00 and 120.00 degrees. The distinct sites, in fractional coordinates, are Sr at (0.0000, 0.0000, 0.0000), Cd at (0.0000, 0.0000, 0.2321) and Se at (0.0000, 0.0000, 0.5000).

For the formation energy without anion corrections, the calculation gives -0.42 eV per atom. Its density of states at the Fermi level is 0.10 states/eV/atom.